# 1
Computed, not measured: a geometry-optimized B2PbSe structure at the PBE level of DFT.

Cell: 5.206 5.206 6.256 Å, 65.41 65.41 90.00°
Fractional positions:
B: 0.586 0.125 0.250
B: 0.164 0.625 0.250
B: 0.875 0.836 0.750
Se: 0.250 0.750 0.500
B: 0.375 0.414 0.750
Pb: 0.750 0.250 0.500
Se: 0.500 0.500 0.000
Pb: 0.000 0.000 0.000

Results
Its energy above the lowest structure with this stoichiometry is 0 meV/atom. The value obtained for the total magnetic moment is 0.000 μB per cell. The total energy comes out at -35.37 eV per cell. Its space group is No. 122. Its crystal system is tetragonal. The raw formation energy is 0.715 eV per atom.



# 2
Computed, not measured: a geometry-optimized BPbSe structure at the PBE level of DFT.

Cell: 4.885 7.962 8.604 Å, 115.98 90.00 90.00°
Fractional positions:
B: 0.116 0.531 0.067
Pb: 0.250 0.656 0.799
Pb: 0.750 0.344 0.201
Se: 0.729 0.360 0.703
B: 0.616 0.969 0.933
Se: 0.771 0.860 0.703
B: 0.384 0.031 0.067
B: 0.884 0.469 0.933
Se: 0.271 0.640 0.297
Pb: 0.250 0.156 0.799
Se: 0.229 0.140 0.297
Pb: 0.750 0.844 0.201

Results
The value obtained for the total magnetic moment is 0.000 μB per cell. The total energy comes out at -53.77 eV per cell. Its space group is No. 14. Its crystal system is monoclinic. The raw formation energy is 0.143 eV per atom.



# 3
Computed, not measured: a geometry-optimized B3PbSe structure at the PBE level of DFT.

Cell: 4.250 4.250 4.250 Å, 90.00 90.00 90.00°
Fractional positions:
B: 0.500 0.000 0.000
Se: 0.000 0.000 0.000
B: 0.000 0.000 0.500
Pb: 0.500 0.500 0.500
B: 0.000 0.500 0.000

Results
Its energy above the lowest structure with this stoichiometry is 0 meV/atom. The value obtained for the total magnetic moment is 0.000 μB per cell. The total energy comes out at -18.07 eV per cell. Its space group is No. 221. Its crystal system is cubic. The raw formation energy is 1.831 eV per atom.



# 4
Computed, not measured: a geometry-optimized BPbSe3 structure at the PBE level of DFT.

Cell: 6.931 9.987 7.918 Å, 91.69 90.00 90.00°
Fractional positions:
Se: 0.158 0.039 0.440
B: 0.198 0.504 0.160
Se: 0.047 0.343 0.182
Pb: 0.838 0.659 0.460
Pb: 0.162 0.341 0.540
Se: 0.739 0.866 0.154
B: 0.802 0.496 0.840
Pb: 0.662 0.159 0.960
Se: 0.658 0.461 0.060
Se: 0.761 0.366 0.654
Se: 0.261 0.134 0.846
B: 0.302 0.004 0.660
Pb: 0.338 0.841 0.040
Se: 0.953 0.657 0.818
Se: 0.842 0.961 0.560
B: 0.698 0.996 0.340
Se: 0.547 0.157 0.318
Se: 0.342 0.539 0.940
Se: 0.453 0.843 0.682
Se: 0.239 0.634 0.346

Results
The value obtained for the total magnetic moment is 0.000 μB per cell. The total energy comes out at -87.30 eV per cell. Its space group is No. 14. Its crystal system is monoclinic. The raw formation energy is -0.197 eV per atom.



# 5
Computed, not measured: a geometry-optimized SiBPb2Se structure at the PBE level of DFT.

Cell: 5.788 4.080 5.788 Å, 90.00 90.00 90.00°
Fractional positions:
Se: 0.000 0.000 0.000
Pb: 0.500 0.000 0.000
Si: 0.500 0.500 0.500
Pb: 0.000 0.000 0.500
B: 0.000 0.500 0.000

Results
The value obtained for the total magnetic moment is 0.000 μB per cell. The total energy comes out at -17.87 eV per cell. Its space group is No. 123. Its crystal system is tetragonal. The raw formation energy is 1.026 eV per atom.



# 6
Computed, not measured: a geometry-optimized ZrBPb2Se structure at the PBE level of DFT.

Cell: 5.679 4.993 5.679 Å, 90.00 90.00 90.00°
Fractional positions:
Se: 0.000 0.000 0.000
Pb: 0.500 0.000 0.000
B: 0.500 0.500 0.500
Zr: 0.000 0.500 0.000
Pb: 0.000 0.000 0.500

Results
The value obtained for the total magnetic moment is 0.000 μB per cell. The total energy comes out at -20.09 eV per cell. Its space group is No. 123. Its crystal system is tetragonal. The raw formation energy is 1.208 eV per atom.



# 7
Computed, not measured: a geometry-optimized SiBPb2 structure at the PBE level of DFT.

Cell: 4.987 4.987 4.987 Å, 60.00 60.00 60.00°
Fractional positions:
B: 0.000 0.000 0.000
Pb: 0.750 0.750 0.750
Si: 0.500 0.500 0.500
Pb: 0.250 0.250 0.250

Results
Its energy above the lowest structure with this stoichiometry is 345 meV/atom. The value obtained for the total magnetic moment is 0.000 μB per cell. The total energy comes out at -14.98 eV per cell. Its space group is No. 225. Its crystal system is cubic. The raw formation energy is 1.135 eV per atom.



# 8
Computed, not measured: a geometry-optimized SiBPb2 structure at the PBE level of DFT.

Cell: 5.943 5.943 7.128 Å, 65.36 65.36 90.00°
Fractional positions:
B: 0.250 0.750 0.500
Si: 0.000 0.000 0.000
Pb: 0.375 0.423 0.750
Si: 0.750 0.250 0.500
Pb: 0.875 0.827 0.750
B: 0.500 0.500 0.000
Pb: 0.577 0.125 0.250
Pb: 0.173 0.625 0.250

Results
Its energy above the lowest structure with this stoichiometry is 0 meV/atom. The value obtained for the total magnetic moment is 0.000 μB per cell. The total energy comes out at -32.71 eV per cell. Its space group is No. 122. Its crystal system is tetragonal. The raw formation energy is 0.790 eV per atom.



# 9
Computed, not measured: a geometry-optimized Sm4BPb2 structure at the PBE level of DFT.

Cell: 4.998 4.998 9.064 Å, 106.00 106.00 90.00°
Fractional positions:
B: 0.000 0.000 0.000
Pb: 0.361 0.361 0.721
Sm: 0.500 0.000 0.000
Pb: 0.639 0.639 0.279
Sm: 0.835 0.835 0.669
Sm: 0.165 0.165 0.331
Sm: 0.000 0.500 0.000

Results
The value obtained for the total magnetic moment is 0.000 μB per cell. The total energy comes out at -35.51 eV per cell. Its space group is No. 139. The value obtained for the calculated formation energy is -0.36 eV per atom. Its crystal system is tetragonal.



# 10
Computed, not measured: a geometry-optimized SnBPb3 structure at the PBE level of DFT.

Cell: 5.119 5.119 5.119 Å, 90.00 90.00 90.00°
Fractional positions:
Pb: 0.000 0.000 0.500
Pb: 0.500 0.000 0.000
Sn: 0.500 0.500 0.500
Pb: 0.000 0.500 0.000
B: 0.000 0.000 0.000

Results
Its energy above the lowest structure with this stoichiometry is 0 meV/atom. The value obtained for the total magnetic moment is 0.000 μB per cell. The total energy comes out at -18.86 eV per cell. Its space group is No. 221. The value obtained for the calculated formation energy is 0.59 eV per atom. Its crystal system is cubic.



# 11
Computed, not measured: a geometry-optimized SnB2Pb structure at the PBE level of DFT.

Cell: 4.660 4.660 4.660 Å, 60.00 60.00 60.00°
Fractional positions:
Pb: 0.500 0.500 0.500
B: 0.250 0.250 0.250
B: 0.750 0.750 0.750
Sn: 0.000 0.000 0.000

Results
Its energy above the lowest structure with this stoichiometry is 573 meV/atom. The value obtained for the total magnetic moment is 0.000 μB per cell. The total energy comes out at -14.98 eV per cell. Its space group is No. 225. The value obtained for the calculated formation energy is 1.52 eV per atom. Its crystal system is cubic.



# 12
Computed, not measured: a geometry-optimized SnBPb3 structure at the PBE level of DFT.

Cell: 5.838 5.838 5.838 Å, 90.00 90.00 90.00°
Fractional positions:
Pb: 0.000 0.000 0.500
Pb: 0.500 0.000 0.000
B: 0.500 0.500 0.500
Sn: 0.000 0.000 0.000
Pb: 0.000 0.500 0.000

Results
Its energy above the lowest structure with this stoichiometry is 900 meV/atom. The value obtained for the total magnetic moment is 0.000 μB per cell. The total energy comes out at -14.36 eV per cell. Its space group is No. 221. The value obtained for the calculated formation energy is 1.49 eV per atom. Its crystal system is cubic.